(1)
Density functional theory data (PBE) for a relaxed LiAc3Pt crystal.

Lattice parameters (Å, degrees): 5.976 5.976 5.976 90.00 90.00 90.00
Sites, in units of the cell vectors:
Ac 0.000 0.500 0.000
Ac 0.000 0.000 0.500
Ac 0.500 0.000 0.000
Pt 0.000 0.000 0.000
Li 0.500 0.500 0.500

Computed properties:
E_tot: -4.38 eV per atom
SG: Pm-3m (221)
energy relative to the elements: -0.323 eV/atom
V: 42.7 Å³/atom
DOS at the Fermi energy: 6.13 states/eV/f.u.

(2)
Density functional theory data (PBE) for a relaxed Li6Ac2Pt3 crystal.

Lattice parameters (Å, degrees): 4.128 7.978 7.978 120.00 90.00 90.00
Sites, in units of the cell vectors:
Li 0.500 0.739 0.739
Li 0.500 0.000 0.261
Li 0.000 0.204 0.204
Li 0.000 0.796 0.000
Li 0.500 0.261 0.000
Li 0.000 0.000 0.796
Ac 0.000 0.667 0.333
Ac 0.000 0.333 0.667
Pt 0.500 0.396 0.396
Pt 0.500 0.604 0.000
Pt 0.500 0.000 0.604

Computed properties:
E_tot: -4.01 eV per atom
SG: P-62m (189)
energy relative to the elements: -0.574 eV/atom
V: 20.7 Å³/atom
DOS at the Fermi energy: 4.18 states/eV/f.u.

(3)
Density functional theory data (PBE) for a relaxed Li4Ac3Pt4 crystal.

Lattice parameters (Å, degrees): 4.245 7.735 8.602 116.72 104.28 90.00
Sites, in units of the cell vectors:
Li 0.324 0.138 0.649
Li 0.676 0.489 0.351
Li 0.676 0.862 0.351
Li 0.324 0.511 0.649
Ac 0.126 0.126 0.253
Ac 0.874 0.874 0.747
Ac 0.000 0.500 0.000
Pt 0.220 0.720 0.441
Pt 0.780 0.280 0.559
Pt 0.500 0.803 0.000
Pt 0.500 0.197 0.000

Computed properties:
E_tot: -4.81 eV per atom
SG: Immm (71)
energy relative to the elements: -0.796 eV/atom
polymorph energy (0 for the lowest one): 0 meV/atom
V: 22.0 Å³/atom
DOS at the Fermi energy: 4.70 states/eV/f.u.